A geometry-optimized CsNa2MoF8 structure, computed with PBE with a Hubbard U.

Summary:
DFT total energy (eV per cell): -56.3
Density (g/cm³): 3.03
Total magnetization (μB per formula unit): 1.0
Crystal system: triclinic

Unit cell a=5.2719 b=5.4331 c=8.3509 alpha=87.34 beta=86.82 gamma=78.54
Closest atoms and distances in Å follow each position.
Atoms (fractional coordinates):
1 Cs 0.0000 0.0000 0.5000  2 F 2.76
2 F 0.2142 0.8068 0.1621  1 Mo 1.94
3 F 0.7858 0.1932 0.8379  1 Mo 1.94
4 F 0.3545 0.3120 0.4720  2 Na 2.16-2.17
5 Na 0.5435 0.5433 0.3072  4 F 2.16-2.37
6 Mo 0.0000 0.0000 0.0000  6 F 1.89-1.95
7 F 0.6455 0.6880 0.5280  2 Na 2.16-2.17
8 F 0.8421 0.2430 0.1585  1 Mo 1.95
9 F 0.7473 0.8065 0.0603  1 Mo 1.89
10 F 0.2527 0.1935 0.9397  1 Mo 1.89
11 Na 0.4565 0.4567 0.6928  4 F 2.16-2.37
12 F 0.1579 0.7570 0.8415  1 Mo 1.95